# 1
VASP calculation (PBE-GGA) on a relaxed structure of Rb5Pt3. Values from VASP.

```
&SYSTEM
  ibrav = 0, nat = 16, ntyp = 2
/
ATOMIC_SPECIES
Pt 195.08 Pt.upf
Rb 85.47 Rb.upf
CELL_PARAMETERS angstrom
-6.721 6.721 2.987
6.721 -6.721 2.987
6.721 6.721 -2.987
ATOMIC_POSITIONS angstrom
Pt 0.000 0.000 1.333
Pt 0.000 0.000 4.642
Pt 4.632 -2.082 2.987
Pt 2.082 4.632 2.987
Pt 4.639 2.090 0.000
Pt 2.090 8.804 0.000
Rb -1.170 2.881 2.987
Rb -3.759 5.516 2.987
Rb 2.881 1.170 2.987
Rb 1.206 2.963 0.000
Rb 0.000 6.721 1.494
Rb 6.721 0.000 1.494
Rb 5.516 3.759 2.987
Rb 3.840 5.551 0.000
Rb 10.480 1.206 0.000
Rb 7.892 3.840 0.000
```

=====

# 2
VASP calculation (PBE-GGA) on a relaxed structure of TaBPd2. Values from VASP.

```
&SYSTEM
  ibrav = 0, nat = 4, ntyp = 3
/
ATOMIC_SPECIES
B 10.81 B.upf
Pd 106.42 Pd.upf
Ta 180.95 Ta.upf
CELL_PARAMETERS angstrom
-2.254 1.615 3.268
0.285 4.171 0.946
-3.319 2.603 -0.764
ATOMIC_POSITIONS angstrom
B -2.644 4.195 1.725
Pd 0.000 0.000 0.000
Pd -3.966 6.292 2.587
Ta -1.322 2.097 0.862
```

=====

# 3
VASP calculation (PBE-GGA) on a relaxed structure of ThCdHgAu. Values from VASP.

```
&SYSTEM
  ibrav = 0, nat = 4, ntyp = 4
/
ATOMIC_SPECIES
Au 196.97 Au.upf
Cd 112.41 Cd.upf
Hg 200.59 Hg.upf
Th 232.04 Th.upf
CELL_PARAMETERS angstrom
0.232 -4.738 -1.948
-3.186 -1.379 -3.774
1.809 -0.737 -4.741
ATOMIC_POSITIONS angstrom
Au 0.000 0.000 0.000
Cd -0.859 -5.141 -7.847
Hg -0.573 -3.427 -5.232
Th -0.286 -1.714 -2.616
```

=====

# 4
VASP calculation (PBE-GGA) on a relaxed structure of Dy2Si. Values from VASP.

```
&SYSTEM
  ibrav = 0, nat = 6, ntyp = 2
/
ATOMIC_SPECIES
Dy 162.50 Dy.upf
Si 28.09 Si.upf
CELL_PARAMETERS angstrom
0.000 4.260 4.260
4.260 0.000 4.260
4.260 4.260 0.000
ATOMIC_POSITIONS angstrom
Dy 3.195 3.195 5.325
Dy 3.195 5.325 3.195
Dy 5.325 3.195 3.195
Dy 5.325 5.325 5.325
Si 0.000 0.000 0.000
Si 2.130 2.130 2.130
```

=====

# 5
VASP calculation (PBE-GGA) on a relaxed structure of ZnSb. Values from VASP.

```
&SYSTEM
  ibrav = 0, nat = 2, ntyp = 2
/
ATOMIC_SPECIES
Sb 121.76 Sb.upf
Zn 65.41 Zn.upf
CELL_PARAMETERS angstrom
3.423 0.000 0.000
-1.712 2.964 0.000
0.000 0.000 4.411
ATOMIC_POSITIONS angstrom
Sb 1.712 0.988 3.308
Zn 0.000 1.976 1.103
```

=====

# 6
VASP calculation (PBE-GGA) on a relaxed structure of LiZrSn. Values from VASP.

```
&SYSTEM
  ibrav = 0, nat = 3, ntyp = 3
/
ATOMIC_SPECIES
Li 6.94 Li.upf
Sn 118.71 Sn.upf
Zr 91.22 Zr.upf
CELL_PARAMETERS angstrom
0.000 3.114 3.114
3.114 0.000 3.114
3.114 3.114 0.000
ATOMIC_POSITIONS angstrom
Li 0.000 0.000 0.000
Sn 1.557 1.557 1.557
Zr 4.672 4.672 4.672
```

=====

# 7
VASP calculation (PBE-GGA) on a relaxed structure of Ba2Cu2SeSF2. Values from VASP.

```
&SYSTEM
  ibrav = 0, nat = 8, ntyp = 5
/
ATOMIC_SPECIES
Ba 137.33 Ba.upf
Cu 63.55 Cu.upf
F 19.00 F.upf
S 32.06 S.upf
Se 78.96 Se.upf
CELL_PARAMETERS angstrom
4.141 0.000 0.000
0.000 4.141 0.000
0.000 0.000 9.080
ATOMIC_POSITIONS angstrom
Ba 0.000 0.000 2.906
Ba 2.070 2.070 6.121
Cu 2.070 0.000 0.078
Cu 0.000 2.070 0.078
F 2.070 0.000 4.511
F 0.000 2.070 4.511
S 2.070 2.070 1.334
Se 0.000 0.000 7.701
```

=====

# 8
VASP calculation (PBE-GGA) on a relaxed structure of LiZr. Values from VASP.

```
&SYSTEM
  ibrav = 0, nat = 12, ntyp = 2
/
ATOMIC_SPECIES
Li 6.94 Li.upf
Zr 91.22 Zr.upf
CELL_PARAMETERS angstrom
-2.344 -3.907 -2.938
7.584 -1.292 -4.334
1.325 -3.271 3.293
ATOMIC_POSITIONS angstrom
Li 0.030 -2.092 -2.090
Li 2.847 -4.725 -5.838
Li 0.282 -5.074 -1.617
Li 2.288 -3.520 -0.880
Li 2.433 -5.699 -3.103
Li 4.721 -3.677 -2.014
Zr -2.063 -3.716 -2.862
Zr 2.552 -0.812 -1.833
Zr 2.186 -2.903 -3.762
Zr 5.128 -2.788 -4.832
Zr 0.031 -2.804 0.740
Zr 5.054 -5.812 -4.269
```

Summary:
Excess energy over the best structure of this formula in the dataset (meV per atom): 182.3

=====

# 9
VASP calculation (PBE-GGA) on a relaxed structure of KErMg. Values from VASP.

```
&SYSTEM
  ibrav = 0, nat = 3, ntyp = 3
/
ATOMIC_SPECIES
Er 167.26 Er.upf
K 39.10 K.upf
Mg 24.30 Mg.upf
CELL_PARAMETERS angstrom
-4.441 -3.237 1.003
-5.097 1.699 -1.529
-2.631 -2.521 -4.234
ATOMIC_POSITIONS angstrom
Er -3.042 -1.015 -1.190
K 0.000 0.000 0.000
Mg -9.127 -3.045 -3.570
```

=====

# 10
VASP calculation (PBE-GGA) on a relaxed structure of LuCuPbSe3. Values from VASP.

```
&SYSTEM
  ibrav = 0, nat = 12, ntyp = 4
/
ATOMIC_SPECIES
Cu 63.55 Cu.upf
Lu 174.97 Lu.upf
Pb 207.20 Pb.upf
Se 78.96 Se.upf
CELL_PARAMETERS angstrom
6.799 -2.009 0.000
6.799 2.009 0.000
0.000 0.000 10.447
ATOMIC_POSITIONS angstrom
Cu 6.340 0.000 2.612
Cu 7.258 0.000 7.835
Lu 0.000 0.000 0.000
Lu 0.000 0.000 5.223
Pb 10.298 0.000 2.612
Pb 3.300 0.000 7.835
Se 4.904 0.000 0.622
Se 1.052 0.000 2.612
Se 4.904 0.000 4.602
Se 8.694 0.000 5.845
Se 12.546 0.000 7.835
Se 8.694 0.000 9.825
```

=====

# 11
VASP calculation (PBE-GGA) on a relaxed structure of OsPtO4. Values from VASP.

```
&SYSTEM
  ibrav = 0, nat = 6, ntyp = 3
/
ATOMIC_SPECIES
O 16.00 O.upf
Os 190.23 Os.upf
Pt 195.08 Pt.upf
CELL_PARAMETERS angstrom
0.716 2.492 3.685
-4.365 -0.339 1.067
0.623 -2.688 1.697
ATOMIC_POSITIONS angstrom
O -1.093 0.645 1.424
O -2.555 1.508 3.328
O 0.084 0.623 4.047
O -3.110 -1.157 2.401
Os 0.000 0.000 0.000
Pt -1.513 -0.267 3.224
```

=====

# 12
VASP calculation (PBE-GGA) on a relaxed structure of ErB4Sb. Values from VASP.

```
&SYSTEM
  ibrav = 0, nat = 6, ntyp = 3
/
ATOMIC_SPECIES
B 10.81 B.upf
Er 167.26 Er.upf
Sb 121.76 Sb.upf
CELL_PARAMETERS angstrom
-1.591 2.597 4.314
1.591 -2.597 4.314
1.591 2.597 -4.314
ATOMIC_POSITIONS angstrom
B 0.000 1.669 2.302
B 1.591 -0.928 2.012
B 0.000 3.525 2.302
B 1.591 0.928 2.012
Er 0.000 0.000 0.000
Sb 0.000 0.000 4.314
```

Summary:
Excess energy over the best structure of this formula in the dataset (meV per atom): 0.0

=====

# 13
VASP calculation (PBE-GGA) on a relaxed structure of RbZrAuO3. Values from VASP.

```
&SYSTEM
  ibrav = 0, nat = 24, ntyp = 4
/
ATOMIC_SPECIES
Au 196.97 Au.upf
O 16.00 O.upf
Rb 85.47 Rb.upf
Zr 91.22 Zr.upf
CELL_PARAMETERS angstrom
-0.671 -0.267 10.288
3.124 -1.002 0.178
3.815 11.991 0.560
ATOMIC_POSITIONS angstrom
Au 1.289 -0.277 6.140
Au 1.728 5.592 1.151
Au 2.977 5.631 9.786
Au 3.416 11.500 4.797
O 1.199 0.086 9.774
O -0.181 0.740 7.352
O 0.360 1.476 2.000
O 2.523 3.785 7.370
O 3.032 4.508 2.489
O 1.347 5.042 4.743
O 3.358 6.181 6.194
O 1.673 6.715 8.448
O 2.183 7.438 3.567
O 4.346 9.748 8.937
O 4.886 10.483 3.585
O 3.507 11.137 1.163
Rb 2.260 2.385 4.101
Rb 0.369 2.775 9.157
Rb 4.336 8.448 1.780
Rb 2.446 8.838 6.836
Zr 1.605 -0.114 1.505
Zr 1.346 5.403 6.801
Zr 3.359 5.820 4.136
Zr 3.100 11.338 9.431
```

=====

# 14
VASP calculation (PBE-GGA) on a relaxed structure of RbYTm. Values from VASP.

```
&SYSTEM
  ibrav = 0, nat = 3, ntyp = 3
/
ATOMIC_SPECIES
Rb 85.47 Rb.upf
Tm 168.93 Tm.upf
Y 88.91 Y.upf
CELL_PARAMETERS angstrom
5.538 0.336 2.078
1.008 -0.408 5.824
2.628 -4.823 2.221
ATOMIC_POSITIONS angstrom
Rb 2.294 -1.224 2.531
Tm 0.000 0.000 0.000
Y 6.881 -3.672 7.593
```

Summary:
Excess energy over the best structure of this formula in the dataset (meV per atom): 0.0

=====

# 15
VASP calculation (PBE-GGA) on a relaxed structure of PrZr. Values from VASP.

```
&SYSTEM
  ibrav = 0, nat = 8, ntyp = 2
/
ATOMIC_SPECIES
Pr 140.91 Pr.upf
Zr 91.22 Zr.upf
CELL_PARAMETERS angstrom
-1.231 1.496 6.668
-1.408 -6.342 -2.452
5.099 -1.638 1.309
ATOMIC_POSITIONS angstrom
Pr 0.000 0.000 0.000
Pr 1.883 -1.396 2.529
Pr 1.288 -0.672 5.752
Pr 0.608 -3.738 4.566
Zr -0.766 -3.225 -1.052
Zr -1.322 -2.549 1.961
Zr -1.958 -5.414 0.853
Zr 1.201 -4.548 1.242
```

Summary:
Excess energy over the best structure of this formula in the dataset (meV per atom): 98.8

=====

# 16
VASP calculation (PBE-GGA) on a relaxed structure of LaNdI3N. Values from VASP.

```
&SYSTEM
  ibrav = 0, nat = 12, ntyp = 4
/
ATOMIC_SPECIES
I 126.90 I.upf
La 138.91 La.upf
N 14.01 N.upf
Nd 144.24 Nd.upf
CELL_PARAMETERS angstrom
-1.568 -3.858 9.669
-4.817 -5.458 7.606
8.049 -4.991 -8.802
ATOMIC_POSITIONS angstrom
I -4.205 -6.253 11.469
I 1.774 -1.587 -1.562
I -1.966 -9.209 10.235
I 3.630 -5.098 -1.763
I -0.110 -12.720 10.035
I 5.869 -8.054 -2.996
La -3.732 -9.217 13.022
La 5.396 -5.090 -4.549
N 0.103 -5.760 4.304
N 1.561 -8.546 4.168
Nd 0.092 -7.613 5.757
Nd 1.571 -6.694 2.715
```

Summary:
Excess energy over the best structure of this formula in the dataset (meV per atom): 0.0

=====

# 17
VASP calculation (PBE-GGA) on a relaxed structure of TbPu2Ni9. Values from VASP.

```
&SYSTEM
  ibrav = 0, nat = 12, ntyp = 3
/
ATOMIC_SPECIES
Ni 58.69 Ni.upf
Pu 244.00 Pu.upf
Tb 158.93 Tb.upf
CELL_PARAMETERS angstrom
-3.976 7.213 2.396
0.253 7.206 4.646
-0.020 8.577 0.065
ATOMIC_POSITIONS angstrom
Ni -2.170 9.118 4.107
Ni -1.246 7.654 2.365
Ni -3.545 13.198 4.162
Ni -1.437 13.195 5.283
Ni -1.872 11.498 3.553
Ni -2.306 9.801 1.823
Ni -0.199 9.798 2.945
Ni -2.498 15.343 4.741
Ni -1.573 13.878 3.000
Pu -0.551 3.382 1.045
Pu -3.193 19.614 6.061
Tb 0.000 0.000 0.000
```

=====

# 18
VASP calculation (PBE-GGA) on a relaxed structure of PuMgPb. Values from VASP.

```
&SYSTEM
  ibrav = 0, nat = 3, ntyp = 3
/
ATOMIC_SPECIES
Mg 24.30 Mg.upf
Pb 207.20 Pb.upf
Pu 244.00 Pu.upf
CELL_PARAMETERS angstrom
2.566 1.481 4.190
-2.566 1.481 4.190
0.000 -2.963 4.190
ATOMIC_POSITIONS angstrom
Mg 0.000 0.000 9.428
Pb 0.000 0.000 3.143
Pu 0.000 0.000 0.000
```

=====

# 19
VASP calculation (PBE-GGA) on a relaxed structure of SbMoPd. Values from VASP.

```
&SYSTEM
  ibrav = 0, nat = 3, ntyp = 3
/
ATOMIC_SPECIES
Mo 95.94 Mo.upf
Pd 106.42 Pd.upf
Sb 121.76 Sb.upf
CELL_PARAMETERS angstrom
0.000 3.116 3.116
3.116 0.000 3.116
3.116 3.116 0.000
ATOMIC_POSITIONS angstrom
Mo 1.558 1.558 1.558
Pd 4.675 4.675 4.675
Sb 0.000 0.000 0.000
```

=====

# 20
VASP calculation (PBE-GGA) on a relaxed structure of TmZrNO. Values from VASP.

```
&SYSTEM
  ibrav = 0, nat = 16, ntyp = 4
/
ATOMIC_SPECIES
N 14.01 N.upf
O 16.00 O.upf
Tm 168.93 Tm.upf
Zr 91.22 Zr.upf
CELL_PARAMETERS angstrom
4.694 0.000 0.000
0.000 6.397 0.000
0.000 0.000 7.900
ATOMIC_POSITIONS angstrom
N 2.584 0.388 1.025
N 0.237 2.810 1.025
N 2.584 3.587 6.875
N 0.237 6.008 6.875
O 2.585 3.878 2.849
O 0.238 5.717 2.849
O 2.585 0.680 5.051
O 0.238 2.518 5.051
Tm 0.237 0.521 1.047
Tm 2.584 2.677 1.047
Tm 0.237 3.719 6.853
Tm 2.584 5.876 6.853
Zr 0.238 3.566 3.076
Zr 2.585 6.029 3.076
Zr 0.238 0.368 4.824
Zr 2.585 2.831 4.824
```

Summary:
Excess energy over the best structure of this formula in the dataset (meV per atom): 95.1

=====

# 21
VASP calculation (PBE-GGA) on a relaxed structure of HfBePO. Values from VASP.

```
&SYSTEM
  ibrav = 0, nat = 8, ntyp = 4
/
ATOMIC_SPECIES
Be 9.01 Be.upf
Hf 178.49 Hf.upf
O 16.00 O.upf
P 30.97 P.upf
CELL_PARAMETERS angstrom
3.599 0.000 0.000
0.000 4.269 0.000
0.000 0.000 6.204
ATOMIC_POSITIONS angstrom
Be 0.000 0.678 2.744
Be 0.000 3.591 5.846
Hf 1.799 1.429 0.566
Hf 1.799 2.840 3.668
O 1.799 0.661 2.705
O 1.799 3.608 5.807
P 0.000 2.876 1.764
P 0.000 1.394 4.866
```

Summary:
Excess energy over the best structure of this formula in the dataset (meV per atom): 125.8

=====

# 22
VASP calculation (PBE-GGA) on a relaxed structure of RbHg3IrSe4. Values from VASP.

```
&SYSTEM
  ibrav = 0, nat = 9, ntyp = 4
/
ATOMIC_SPECIES
Hg 200.59 Hg.upf
Ir 192.22 Ir.upf
Rb 85.47 Rb.upf
Se 78.96 Se.upf
CELL_PARAMETERS angstrom
-6.133 3.756 -0.131
-3.758 -6.132 0.119
-0.049 0.170 7.191
ATOMIC_POSITIONS angstrom
Hg -4.946 -1.188 -0.006
Hg -3.091 1.963 3.530
Hg -1.904 -2.981 3.655
Ir -4.970 -1.103 3.589
Rb 0.000 0.000 0.000
Se -3.099 -0.688 2.238
Se -6.823 -1.582 2.234
Se -5.426 0.790 4.896
Se -4.533 -2.932 4.990
```

=====

# 23
VASP calculation (PBE-GGA) on a relaxed structure of DyHo3C2Se2. Values from VASP.

```
&SYSTEM
  ibrav = 0, nat = 8, ntyp = 4
/
ATOMIC_SPECIES
C 12.01 C.upf
Dy 162.50 Dy.upf
Ho 164.93 Ho.upf
Se 78.96 Se.upf
CELL_PARAMETERS angstrom
-0.103 -1.533 3.415
3.195 0.007 -1.954
3.236 11.666 5.335
ATOMIC_POSITIONS angstrom
C 2.096 -0.504 -0.163
C 3.713 5.327 2.503
Dy 2.912 10.499 4.801
Ho 1.320 0.148 2.159
Ho 2.291 3.647 3.760
Ho 1.941 6.999 3.201
Se 0.809 2.916 1.334
Se 3.422 7.728 5.626
```

=====

# 24
VASP calculation (PBE-GGA) on a relaxed structure of Hg2Pd2O5. Values from VASP.

```
&SYSTEM
  ibrav = 0, nat = 9, ntyp = 3
/
ATOMIC_SPECIES
Hg 200.59 Hg.upf
O 16.00 O.upf
Pd 106.42 Pd.upf
CELL_PARAMETERS angstrom
9.839 0.000 0.000
0.000 3.491 0.000
0.000 0.000 3.491
ATOMIC_POSITIONS angstrom
Hg 2.722 1.746 1.746
Hg 7.117 1.746 1.746
O 1.183 1.746 0.000
O 8.656 1.746 0.000
O 1.183 0.000 1.746
O 8.656 0.000 1.746
O 4.919 1.746 1.746
Pd 0.000 0.000 0.000
Pd 4.919 0.000 0.000
```

Summary:
Excess energy over the best structure of this formula in the dataset (meV per atom): 421.9

=====

Sequential final energy output: -2.760, -7.029, -3.397, -4.388, -2.452, -4.911, -4.847, -4.930, -1.345, -4.727, -6.874, -5.909, -6.614, -2.722, -6.464, -5.303, -7.017, -6.117, -6.441, -8.617, -7.433, -2.831, -6.629, -3.744 eV/atom